(1)
DFT (PBE-GGA) results for crystalline PrTm2Mg3CdGa2 at its relaxed geometry.

extended XYZ file:
```
9
Lattice="-0.7271 4.4111 0.5858 -4.4493 0.0544 -5.9326 -2.6798 -1.3425 6.7832" Properties=species:S:1:pos:R:3 pbc="T T T"
Tm -1.5464 -0.7665 3.8529
Mg -5.7172 1.2383 0.9316
Mg -4.1438 0.8772 5.6037
Tm -2.5507 0.0263 -3.3641
Cd -7.0470 -1.2732 0.8408
Ga -3.6515 1.3177 2.8976
Mg -5.4743 1.9275 -3.9572
Pr -3.0753 -0.5556 0.3669
Ga -4.2572 1.7958 -1.4550
```

Results
- calculated volume (Å³ per cell) = 212
- E_tot (eV per atom) = -3.23
- space-group type = Amm2, No. 38



(2)
DFT (PBE-GGA) results for crystalline CsHfAgTe3 at its relaxed geometry.

extended XYZ file:
```
24
Lattice="-3.6089 -6.1203 9.0522 0.3703 -3.5585 -2.2583 15.9332 -1.6606 5.2295" Properties=species:S:1:pos:R:3 pbc="T T T"
Ag 2.4472 -2.7367 2.7321
Hf 8.5494 -8.0339 12.0798
Cs 5.4525 -8.1548 7.7993
Te 0.5898 -3.9812 4.3886
Te 0.5224 -7.6425 6.1835
Ag 10.5741 -5.3884 4.2801
Hf 10.3817 -4.9767 7.5629
Ag 2.1206 -5.9509 7.7433
Te 4.3066 -4.7886 2.3072
Te 2.0179 -1.3239 0.4355
Te 12.1048 -7.3581 7.6348
Te 4.0698 -4.7860 6.2273
Ag 10.2475 -8.6026 9.2912
Te 8.3881 -6.5507 9.7162
Te 10.3145 -3.9233 1.9289
Te 8.6249 -6.5534 5.7961
Te 2.3802 -7.4160 10.0945
Hf 4.1453 -3.3054 -0.0564
Cs 7.2422 -3.1846 4.2241
Cs -0.6218 -4.2735 0.6873
Cs 13.3165 -7.0658 11.3361
Hf 2.3130 -6.3627 4.4605
Te 10.6767 -10.0154 11.5879
Te 12.1722 -3.6969 5.8399
```

Results
- calculated volume (Å³ per cell) = 820
- E_tot (eV per atom) = -4.60
- space-group type = Pnma, No. 62



(3)
DFT (PBE-GGA) results for crystalline ScReB at its relaxed geometry.

extended XYZ file:
```
3
Lattice="2.7564 -2.7709 0.1021 0.5656 -2.0754 3.2648 -1.0231 -3.7716 0.1207" Properties=species:S:1:pos:R:3 pbc="T T T"
Re 0.5747 -2.1545 0.8719
Sc 1.7242 -6.4634 2.6156
B 0.0000 0.0000 0.0000
```

Results
- calculated volume (Å³ per cell) = 42
- E_tot (eV per atom) = -8.48
- space-group type = F-43m, No. 216



(4)
DFT (PBE-GGA) results for crystalline Th3Mg4 at its relaxed geometry.

extended XYZ file:
```
14
Lattice="-1.4622 -5.6119 7.0082 -0.2900 -8.9905 -1.3541 5.4463 -0.3095 0.8885" Properties=species:S:1:pos:R:3 pbc="T T T"
Th -0.5831 -6.6379 1.2622
Th 1.5547 -9.9923 4.1801
Th 1.8308 -6.4971 3.7051
Th 2.1561 -8.6879 0.9476
Mg -1.4396 -5.5834 6.8792
Mg -0.8859 -4.3924 3.9006
Th -1.1846 -7.9425 4.4945
Mg 2.4455 -5.2715 0.3641
Mg 2.1475 -3.2472 2.8956
Mg 1.2389 -7.6684 6.9249
Mg 1.2632 -13.2599 4.8286
Th -0.8592 -10.1331 1.7369
Mg -1.4739 -11.3588 5.0782
Mg -0.2916 -3.3707 0.6135
```

Results
- calculated volume (Å³ per cell) = 396
- E_tot (eV per atom) = -3.91
- space-group type = P6_3/m, No. 176



(5)
DFT (PBE-GGA) results for crystalline NaSiBPt at its relaxed geometry.

extended XYZ file:
```
4
Lattice="3.0969 -0.7981 2.7288 -0.9117 -1.0101 3.9778 0.6346 -3.9233 1.3708" Properties=species:S:1:pos:R:3 pbc="T T T"
Si 0.0000 0.0000 0.0000
B 1.4099 -2.8658 4.0387
Na 2.1149 -4.2987 6.0580
Pt 0.7050 -1.4329 2.0193
```

Results
- calculated volume (Å³ per cell) = 53
- E_tot (eV per atom) = -4.45
- space-group type = F-43m, No. 216



(6)
DFT (PBE-GGA) results for crystalline NaSrHoSe3 at its relaxed geometry.

extended XYZ file:
```
24
Lattice="-0.5080 -7.6702 -11.8681 4.2569 0.1890 -0.3043 0.8321 -9.2126 5.9184" Properties=species:S:1:pos:R:3 pbc="T T T"
Se 0.9669 -10.7987 -8.1732
Se 3.6142 -5.8951 1.9192
Na 3.4317 -9.0917 -2.6192
Ho 3.4642 -3.0925 1.5617
Se 0.9369 -7.0776 -6.2815
Ho 1.1168 -13.6013 -7.8157
Ho 1.5153 -11.3655 -0.8543
Se 3.3717 -13.2463 -6.0382
Sr 3.2210 -10.0191 -6.1418
Sr 1.4992 -14.8620 -3.2503
Se 1.2094 -3.4474 -0.2158
Se 3.3069 -6.2377 -2.5926
Na 1.1494 -7.6020 -3.6348
Sr 1.3601 -6.6747 -0.1123
Na 1.1366 -0.8134 0.4018
Sr 3.0819 -1.8318 -3.0037
Se 3.6607 -13.0562 -1.8781
Se 3.6442 -9.6162 0.0274
Se 1.7314 -8.8709 3.7179
Ho 3.0658 -5.3283 -5.3998
Se 0.9204 -3.6376 -4.3759
Na 3.4445 -15.8804 -6.6558
Se 1.2742 -10.4561 -3.6614
Se 2.8497 -7.8229 -9.9720
```

Results
- calculated volume (Å³ per cell) = 663
- E_tot (eV per atom) = -4.64
- space-group type = Pnma, No. 62



(7)
DFT (PBE-GGA) results for crystalline TbGdI2O2 at its relaxed geometry.

extended XYZ file:
```
6
Lattice="-1.1851 -1.1842 3.5734 -3.0742 -1.8577 -1.6352 5.0044 -7.5423 -0.8397" Properties=species:S:1:pos:R:3 pbc="T T T"
I -0.4772 -4.0115 0.6918
O 4.4079 -8.1285 0.9477
Tb 2.2630 -8.1413 0.2321
Gd 0.6159 -0.9283 -0.1033
I 3.3554 -5.0571 -0.5630
O 3.4634 -8.4653 -1.6566
```

Results
- calculated volume (Å³ per cell) = 142
- E_tot (eV per atom) = -6.43
- space-group type = P4mm, No. 99



(8)
DFT (PBE-GGA) results for crystalline PrDyInNi2 at its relaxed geometry.

extended XYZ file:
```
5
Lattice="3.7446 0.0000 0.0000 0.0000 1.9882 7.1949 0.0000 -1.9882 7.1949" Properties=species:S:1:pos:R:3 pbc="T T T"
In 1.8723 0.0000 0.0649
Ni 1.8723 0.0000 2.8339
Pr 0.0000 0.0000 5.2290
Dy 0.0000 0.0000 9.1899
Ni 1.8723 0.0000 11.4617
```

Results
- calculated volume (Å³ per cell) = 107
- E_tot (eV per atom) = -5.13
- space-group type = Amm2, No. 38



(9)
DFT (PBE-GGA) results for crystalline NiAgPd2 at its relaxed geometry.

extended XYZ file:
```
4
Lattice="2.2027 1.2717 3.5970 -2.2027 1.2717 3.5970 0.0000 -2.5435 3.5970" Properties=species:S:1:pos:R:3 pbc="T T T"
Ag 0.0000 0.0000 2.6978
Ni 0.0000 0.0000 0.0000
Pd 0.0000 0.0000 5.3956
Pd 0.0000 0.0000 8.0933
```

Results
- calculated volume (Å³ per cell) = 60
- E_tot (eV per atom) = -4.55
- space-group type = F-43m, No. 216



(10)
DFT (PBE-GGA) results for crystalline NpFeAu at its relaxed geometry.

extended XYZ file:
```
3
Lattice="0.0000 3.0590 3.0590 3.0590 0.0000 3.0590 3.0590 3.0590 0.0000" Properties=species:S:1:pos:R:3 pbc="T T T"
Au 4.5885 4.5885 4.5885
Fe 0.0000 0.0000 0.0000
Np 1.5295 1.5295 1.5295
```

Results
- calculated volume (Å³ per cell) = 57
- E_tot (eV per atom) = -7.87
- space-group type = F-43m, No. 216



(11)
DFT (PBE-GGA) results for crystalline MgCdSO at its relaxed geometry.

extended XYZ file:
```
8
Lattice="-0.4699 -2.6578 -3.7926 3.6752 -2.5336 1.3202 -4.2243 -4.2888 3.5289" Properties=species:S:1:pos:R:3 pbc="T T T"
Mg -0.2840 -6.6226 0.3912
Mg -0.7350 -2.8576 0.6653
S 0.5268 -4.7091 1.8064
Cd -2.6405 -4.7922 2.2571
S -1.5458 -4.7712 -0.7500
Cd 1.6215 -4.6880 -1.2006
O -1.3865 -7.7420 1.3122
O 0.3676 -1.7382 -0.2558
```

Results
- calculated volume (Å³ per cell) = 151
- E_tot (eV per atom) = -3.69
- space-group type = P4/nmm, No. 129



(12)
DFT (PBE-GGA) results for crystalline RbMgPt at its relaxed geometry.

extended XYZ file:
```
3
Lattice="0.0000 3.6524 3.6524 3.6524 0.0000 3.6524 3.6524 3.6524 0.0000" Properties=species:S:1:pos:R:3 pbc="T T T"
Rb 0.0000 0.0000 0.0000
Pt 5.4787 5.4787 5.4787
Mg 1.8262 1.8262 1.8262
```

Results
- calculated volume (Å³ per cell) = 97
- E_tot (eV per atom) = -1.99
- space-group type = F-43m, No. 216



Look up the calculated volume of the eighth one.
107 Å³ per cell



Number 7 is which compound?
TbGdI2O2



E_tot of number 10 (NpFeAu)?
-7.87 eV per atom



Which of these has the lowest E_tot?
ScReB